Record 1
Entry from Alexandria: a geometry-optimized Nd8As6S structure (PBE).

abc: 10.6117 10.6117 4.4928
angles: 90.00 90.00 120.00
Space group P-3 (No. 147)
Symmetry-distinct sites (fractional):
Nd  0.0308  0.3301  0.2370 [6 per cell]
Nd  0.3333  0.6667  0.7553 [2 per cell]
As  0.1296  0.6542  0.2599 [6 per cell]
S  0.0000  0.0000  0.0000 [1 per cell]

Calculated values
* calculated volume: 29.210 Å³ per atom
* size of the total moment: 0.00 μB/f.u.
* formation energy (no corrections): -1.147 eV per atom
* Fermi-level density of states: 0.689 states/eV per atom

Record 2
Entry from Alexandria: a geometry-optimized Cd2GaGeB structure (PBE).

abc: 5.093 5.093 4.932
angles: 90.00 90.00 90.00
Space group P4/mmm (No. 123)
Symmetry-distinct sites (fractional):
Cd  0.000  0.500  0.000 [2 per cell]
Ga  0.000  0.000  0.000 [1 per cell]
Ge  0.000  0.000  0.500 [1 per cell]
B  0.500  0.500  0.500 [1 per cell]

Calculated values
* calculated volume: 25.580 Å³ per atom
* DFT formation energy: 1.29 eV per atom
* size of the total moment: 0.00 μB/f.u.
* Fermi-level density of states: 0.560 states/eV per atom

Record 3
Entry from Alexandria: a geometry-optimized LaAl2AgH structure (PBE).

abc: 5.910 5.910 4.057
angles: 90.00 90.00 90.00
Space group P4/mmm (No. 123)
Symmetry-distinct sites (fractional):
La  0.000  0.000  0.000 [1 per cell]
Al  0.000  0.500  0.000 [2 per cell]
Ag  0.500  0.500  0.500 [1 per cell]
H  0.000  0.000  0.500 [1 per cell]

Calculated values
* calculated volume: 28.334 Å³ per atom
* size of the total moment: 0.00 μB/f.u.
* calculated total energy: -2.936 eV/atom
* Fermi-level density of states: 0.795 states/eV per atom

- size of the total moment of number 1 (Nd8As6S)?
  0.00 μB/f.u.